# Re2TeSe (PBE, relaxed)
# Formation energy from raw total energies: 1.206 eV per atom
# Relative energy among the computed polymorphs: 0.982 eV per atom
data_Re2TeSe
_chemical_formula_sum 'Re2 Te1 Se1'
_cell_length_a 3.0496
_cell_length_b 4.7008
_cell_length_c 4.9635
_cell_angle_alpha 90.00
_cell_angle_beta 90.00
_cell_angle_gamma 90.00
_space_group_name_H-M_alt 'P m m m'
_space_group_IT_number 47
loop_
_space_group_symop_operation_xyz
'x,y,z'
'-x,-y,-z'
'-x,-y,z'
'x,y,-z'
'x,-y,-z'
'-x,y,z'
'-x,y,-z'
'x,-y,z'
loop_
_atom_site_label
_atom_site_type_symbol
_atom_site_fract_x
_atom_site_fract_y
_atom_site_fract_z
Re1 Re 0.0000 0.0000 0.0000
Re2 Re 0.5000 0.0000 0.5000
Te1 Te 0.0000 0.5000 0.5000
Se1 Se 0.5000 0.5000 0.0000

***

# Sb3Mo (PBE, relaxed)
# Formation energy from raw total energies: 0.580 eV per atom
# Relative energy among the computed polymorphs: 0.421 eV per atom
data_Sb3Mo
_chemical_formula_sum 'Sb12 Mo4'
_cell_length_a 7.0891
_cell_length_b 7.0891
_cell_length_c 7.0891
_cell_angle_alpha 90.00
_cell_angle_beta 90.00
_cell_angle_gamma 90.00
_space_group_name_H-M_alt 'F m -3 m'
_space_group_IT_number 225
_space_group_name_Hall '-F 4 2 3'
loop_
_atom_site_label
_atom_site_type_symbol
_atom_site_fract_x
_atom_site_fract_y
_atom_site_fract_z
Sb1 Sb 0.0000 0.0000 0.0000
Sb2 Sb 0.2500 0.2500 0.2500
Mo1 Mo 0.0000 0.0000 0.5000

***

# Ca2ZnHg (PBE, relaxed)
# Energy relative to the elements: -1.03 eV/f.u.
# Relative energy among the computed polymorphs: 0.137 eV per atom
data_Ca2ZnHg
_chemical_formula_sum 'Ca2 Zn1 Hg1'
_cell_length_a 4.1683
_cell_length_b 4.1683
_cell_length_c 6.5556
_cell_angle_alpha 90.00
_cell_angle_beta 90.00
_cell_angle_gamma 90.00
_space_group_name_H-M_alt 'P 4 m m'
_space_group_IT_number 99
loop_
_space_group_symop_operation_xyz
'x,y,z'
'-y,x,z'
'-x,-y,z'
'y,-x,z'
'-x,y,z'
'y,x,z'
'x,-y,z'
'-y,-x,z'
loop_
_atom_site_label
_atom_site_type_symbol
_atom_site_fract_x
_atom_site_fract_y
_atom_site_fract_z
Ca1 Ca 0.0000 0.0000 0.0000
Ca2 Ca 0.5000 0.5000 0.3687
Zn1 Zn 0.5000 0.5000 0.8448
Hg1 Hg 0.0000 0.0000 0.5302

***

# Ac3Ho5Te12 (PBE, relaxed)
# Formation energy from raw total energies: -1.332 eV per atom
data_Ac3Ho5Te12
_chemical_formula_sum 'Ac24 Ho40 Te96'
_cell_length_a 18.5584
_cell_length_b 18.5584
_cell_length_c 18.5584
_cell_angle_alpha 90.00
_cell_angle_beta 90.00
_cell_angle_gamma 90.00
_space_group_name_H-M_alt 'I a -3 d'
_space_group_IT_number 230
_space_group_name_Hall '-I 4bd 2c 3'
loop_
_atom_site_label
_atom_site_type_symbol
_atom_site_fract_x
_atom_site_fract_y
_atom_site_fract_z
Ac1 Ac 0.0000 0.2500 0.1250
Ho1 Ho 0.0000 0.0000 0.0000
Ho2 Ho 0.0000 0.2500 0.3750
Te1 Te 0.0244 0.0656 0.6504

***

# Rb3BeHg (PBE, relaxed)
# Energy relative to the elements: 2.48 eV/f.u.
# Relative energy among the computed polymorphs: 0.000 eV per atom
data_Rb3BeHg
_chemical_formula_sum 'Rb3 Be1 Hg1'
_cell_length_a 6.7260
_cell_length_b 6.7260
_cell_length_c 6.7260
_cell_angle_alpha 90.00
_cell_angle_beta 90.00
_cell_angle_gamma 90.00
_space_group_name_H-M_alt 'P m -3 m'
_space_group_IT_number 221
_space_group_name_Hall '-P 4 2 3'
loop_
_atom_site_label
_atom_site_type_symbol
_atom_site_fract_x
_atom_site_fract_y
_atom_site_fract_z
Rb1 Rb 0.0000 0.0000 0.5000
Be1 Be 0.0000 0.0000 0.0000
Hg1 Hg 0.5000 0.5000 0.5000

***

# Ga2GeBiC (PBE, relaxed)
# Energy relative to the elements: 3.38 eV/f.u.
data_Ga2GeBiC
_chemical_formula_sum 'Ga2 Ge1 Bi1 C1'
_cell_length_a 4.2897
_cell_length_b 4.2897
_cell_length_c 5.1712
_cell_angle_alpha 90.00
_cell_angle_beta 90.00
_cell_angle_gamma 90.00
_space_group_name_H-M_alt 'P 4/m m m'
_space_group_IT_number 123
_space_group_name_Hall '-P 4 2'
loop_
_atom_site_label
_atom_site_type_symbol
_atom_site_fract_x
_atom_site_fract_y
_atom_site_fract_z
Ga1 Ga 0.0000 0.5000 0.0000
Ge1 Ge 0.0000 0.0000 0.5000
Bi1 Bi 0.5000 0.5000 0.5000
C1 C 0.0000 0.0000 0.0000

***

# CdIn2Br (PBE, relaxed)
# Formation energy from raw total energies: -0.173 eV per atom
# Relative energy among the computed polymorphs: 0.038 eV per atom
data_CdIn2Br
_chemical_formula_sum 'Cd3 In6 Br3'
_cell_length_a 3.7339
_cell_length_b 3.7339
_cell_length_c 28.9725
_cell_angle_alpha 90.00
_cell_angle_beta 90.00
_cell_angle_gamma 120.00
_space_group_name_H-M_alt 'R -3 m'
_space_group_IT_number 166
_space_group_name_Hall '-R 3 2"'
loop_
_atom_site_label
_atom_site_type_symbol
_atom_site_fract_x
_atom_site_fract_y
_atom_site_fract_z
Cd1 Cd 0.0000 0.0000 0.0000
In1 In 0.0000 0.0000 0.2478
Br1 Br 0.0000 0.0000 0.5000

***

# CsHf2ZnBi (PBE, relaxed)
# Energy relative to the elements: 6.23 eV/f.u.
data_CsHf2ZnBi
_chemical_formula_sum 'Cs1 Hf2 Zn1 Bi1'
_cell_length_a 5.6538
_cell_length_b 5.6538
_cell_length_c 5.6898
_cell_angle_alpha 90.00
_cell_angle_beta 90.00
_cell_angle_gamma 90.00
_space_group_name_H-M_alt 'P 4/m m m'
_space_group_IT_number 123
_space_group_name_Hall '-P 4 2'
loop_
_atom_site_label
_atom_site_type_symbol
_atom_site_fract_x
_atom_site_fract_y
_atom_site_fract_z
Cs1 Cs 0.0000 0.0000 0.0000
Hf1 Hf 0.0000 0.5000 0.5000
Zn1 Zn 0.5000 0.5000 0.0000
Bi1 Bi 0.5000 0.5000 0.5000

***

# Cs2BeO2 (PBE, relaxed)
# Formation energy from raw total energies: -1.780 eV per atom
# Relative energy among the computed polymorphs: 0.001 eV per atom
data_Cs2BeO2
_chemical_formula_sum 'Cs8 Be4 O8'
_cell_length_a 8.5447
_cell_length_b 6.1296
_cell_length_c 12.2988
_cell_angle_alpha 90.00
_cell_angle_beta 132.32
_cell_angle_gamma 90.00
_space_group_name_H-M_alt 'P 1 21/c 1'
_space_group_IT_number 14
loop_
_space_group_symop_operation_xyz
'x,y,z'
'-x,-y,-z'
'-x,y+1/2,-z+1/2'
'x,-y+1/2,z+1/2'
loop_
_atom_site_label
_atom_site_type_symbol
_atom_site_fract_x
_atom_site_fract_y
_atom_site_fract_z
Cs1 Cs 0.1099 0.0243 0.2150
Cs2 Cs 0.3105 0.5548 0.1257
Be1 Be 0.4130 0.0354 0.0276
O1 O 0.2895 0.0780 0.0731
O2 O 0.3349 0.5527 0.3753

***

# MgCuSeN2 (PBE, relaxed)
# Formation energy from raw total energies: 0.972 eV per atom
# Relative energy among the computed polymorphs: 0.000 eV per atom
data_MgCuSeN2
_chemical_formula_sum 'Mg1 Cu1 Se1 N2'
_cell_length_a 3.7759
_cell_length_b 3.7759
_cell_length_c 5.4501
_cell_angle_alpha 90.00
_cell_angle_beta 90.00
_cell_angle_gamma 90.00
_space_group_name_H-M_alt 'P 4/m m m'
_space_group_IT_number 123
_space_group_name_Hall '-P 4 2'
loop_
_atom_site_label
_atom_site_type_symbol
_atom_site_fract_x
_atom_site_fract_y
_atom_site_fract_z
Mg1 Mg 0.0000 0.0000 0.0000
Cu1 Cu 0.5000 0.5000 0.5000
Se1 Se 0.5000 0.5000 0.0000
N1 N 0.0000 0.5000 0.5000

***

# BeSn2Pb (PBE, relaxed)
# Energy relative to the elements: 2.13 eV/f.u.
# Relative energy among the computed polymorphs: 0.189 eV per atom
data_BeSn2Pb
_chemical_formula_sum 'Be4 Sn8 Pb4'
_cell_length_a 7.3758
_cell_length_b 7.3758
_cell_length_c 7.3758
_cell_angle_alpha 90.00
_cell_angle_beta 90.00
_cell_angle_gamma 90.00
_space_group_name_H-M_alt 'F m -3 m'
_space_group_IT_number 225
_space_group_name_Hall '-F 4 2 3'
loop_
_atom_site_label
_atom_site_type_symbol
_atom_site_fract_x
_atom_site_fract_y
_atom_site_fract_z
Be1 Be 0.0000 0.0000 0.0000
Sn1 Sn 0.2500 0.2500 0.2500
Pb1 Pb 0.0000 0.0000 0.5000

***

# LaAl3F (PBE, relaxed)
# Formation energy from raw total energies: 0.938 eV per atom
# Relative energy among the computed polymorphs: 1.582 eV per atom
data_LaAl3F
_chemical_formula_sum 'La1 Al3 F1'
_cell_length_a 5.9714
_cell_length_b 5.9714
_cell_length_c 5.9714
_cell_angle_alpha 90.00
_cell_angle_beta 90.00
_cell_angle_gamma 90.00
_space_group_name_H-M_alt 'P m -3 m'
_space_group_IT_number 221
_space_group_name_Hall '-P 4 2 3'
loop_
_atom_site_label
_atom_site_type_symbol
_atom_site_fract_x
_atom_site_fract_y
_atom_site_fract_z
La1 La 0.0000 0.0000 0.0000
Al1 Al 0.0000 0.0000 0.5000
F1 F 0.5000 0.5000 0.5000